(1)
Computed, not measured: an optimized crystal structure of Li3BeS at the PBE level of DFT.

Results
The value obtained for the total magnetization is 0.21 μB/f.u. As for the symmetry: Pm-3m, No. 221. As for the crystal system: cubic. The calculation puts the uncorrected formation energy at -0.178 eV/atom. The energy comes out at -2.90 eV per atom.

```
Li3BeS
1.0
-1.224 3.799 -2.234
0.689 -2.126 -3.992
-4.354 -1.404 -0.003
Be S Li
1 1 3
direct
0.500 0.500 0.500
0.000 0.000 0.000
0.500 0.000 0.000
0.000 0.500 0.000
0.000 0.000 0.500
```

=====

(2)
Computed, not measured: an optimized crystal structure of AlPPt at the PBE level of DFT.

Results
The value obtained for the total magnetization is 0.00 μB/f.u. As for the symmetry: P-62m, No. 189. As for the crystal system: hexagonal. The energy comes out at -5.39 eV per atom. Its formation energy from the elements is -0.3302 eV per atom.

```
AlPPt
1.0
-2.758 6.159 -0.707
-3.982 -5.412 0.945
0.177 0.482 3.508
P Pt Al
3 3 3
direct
0.388 0.000 0.500
0.000 0.388 0.500
0.612 0.612 0.500
0.667 0.333 0.000
0.000 0.000 0.500
0.333 0.667 0.000
0.726 0.000 0.000
0.274 0.274 0.000
0.000 0.726 0.000
```

=====

(3)
Computed, not measured: an optimized crystal structure of GaBiOs2W at the PBE level of DFT.

Results
The value obtained for the total magnetization is 1.51 μB/f.u. As for the symmetry: P4/mmm, No. 123. As for the crystal system: tetragonal. The energy comes out at -6.72 eV per atom. Its formation energy from the elements is 1.7477 eV per atom.

```
GaBiOs2W
1.0
-3.728 -1.540 -2.222
1.043 -4.418 1.312
-2.505 0.544 3.825
Ga W Os Bi
1 1 2 1
direct
0.000 0.000 0.000
0.000 0.500 0.000
0.500 0.000 0.000
0.000 0.000 0.500
0.500 0.500 0.500
```

=====

(4)
Computed, not measured: an optimized crystal structure of TmAgHg5 at the PBE level of DFT.

Results
The value obtained for the total magnetization is 0.00 μB/f.u. As for the symmetry: P4/mmm, No. 123. As for the crystal system: tetragonal. The energy comes out at -1.42 eV per atom. Its formation energy from the elements is -0.1628 eV per atom.

```
TmAgHg5
1.0
4.897 0.000 0.000
0.000 4.897 0.000
0.000 0.000 7.057
Ag Hg Tm
1 5 1
direct
0.000 0.000 0.500
0.000 0.500 0.719
0.500 0.000 0.281
0.000 0.500 0.281
0.500 0.500 0.000
0.500 0.000 0.719
0.000 0.000 0.000
```